Entry 1:
Entry from Alexandria via LeMat-Bulk: a geometry-optimized PmNdDy2Tm structure (PBE).

The structure in POSCAR format:
```
PmNdDy2Tm
1.0
4.2099 -5.7625 0.0000
4.2099 5.7625 0.0000
0.0000 0.0000 7.1690
Pm Nd Dy Tm
2 2 4 2
Cartesian
4.2099 5.7481 5.3768
4.2099 -5.7481 1.7923
4.2099 2.6458 5.3768
4.2099 -2.6458 1.7923
2.6343 0.0000 0.0000
2.6343 0.0000 3.5845
5.7854 0.0000 0.0000
5.7854 0.0000 3.5845
4.2099 2.5502 1.7923
4.2099 -2.5502 5.3768
```

Output
Final energy: -0.1561 Ha/atom
V: 34.78 Å³ per atom
ΔH_f (0 K): 1.96 eV per formula unit

Entry 2:
Entry from Alexandria via LeMat-Bulk: a geometry-optimized Pm6NdDyTm2 structure (PBE).

The structure in POSCAR format:
```
Pm6NdDyTm2
1.0
4.6272 -7.5944 0.0000
4.6272 7.5944 0.0000
-1.2974 0.0000 9.5799
Pm Nd Dy Tm
12 2 2 4
Cartesian
2.4478 4.1633 1.7527
3.3091 4.9234 5.3162
3.9992 4.9234 9.0537
3.2347 1.6396 3.6443
6.1579 4.1633 3.0373
5.3711 1.6396 1.1456
2.5860 -1.6396 8.4343
1.7991 -4.1633 6.5426
4.7224 -1.6396 5.9356
3.9578 -4.9234 0.5262
4.6479 -4.9234 4.2638
5.5092 -4.1633 7.8273
3.6542 1.4136 7.1850
4.3029 -1.4136 2.3950
4.3029 7.1371 2.3950
3.6542 -7.1371 7.1850
2.2079 0.7358 0.4499
1.5592 -0.7358 5.2399
6.3978 0.7358 4.3401
5.7491 -0.7358 9.1300
```

Output
Final energy: -0.1678 Ha/atom
V: 33.66 Å³ per atom
ΔH_f (0 K): 1.17 eV per formula unit

Entry 3:
Entry from Alexandria via LeMat-Bulk: a geometry-optimized Pm6Nd2Dy3Tm structure (PBE).

The structure in POSCAR format:
```
Pm6Nd2Dy3Tm
1.0
3.1333 -5.4258 0.0000
3.1333 5.4258 0.0000
-2.0870 0.0000 11.7727
Pm Nd Dy Tm
6 2 3 1
Cartesian
-0.0030 1.8006 8.8554
1.0373 0.0000 2.9126
-0.0030 -1.8006 8.8554
4.1827 1.8006 2.9173
3.1424 0.0000 8.8601
4.1827 -1.8006 2.9173
2.0898 1.8092 5.8863
2.0898 -1.8092 5.8863
3.1333 3.6208 0.0000
3.1333 0.0000 0.0000
3.1333 -3.6208 0.0000
-1.0435 0.0000 5.8863
```

Output
Final energy: -0.1719 Ha/atom
V: 33.36 Å³ per atom
ΔH_f (0 K): 0.17 eV per formula unit

Entry 4:
Entry from Alexandria via LeMat-Bulk: a geometry-optimized Pm3Nd6Dy2Tm structure (PBE).

The structure in POSCAR format:
```
Pm3Nd6Dy2Tm
1.0
3.1542 -5.4641 0.0000
3.1542 5.4641 0.0000
-2.1003 0.0000 11.7974
Pm Nd Dy Tm
3 6 2 1
Cartesian
0.0000 0.0000 0.0000
3.1542 1.8206 0.0000
3.1542 -1.8206 0.0000
1.0508 1.8186 2.9927
0.0068 0.0000 8.8071
1.0508 -1.8186 2.9927
3.1573 1.8186 8.8047
4.2014 0.0000 2.9903
3.1573 -1.8186 8.8047
2.1041 3.6428 5.8987
2.1041 -3.6428 5.8987
2.1041 0.0000 5.8987
```

Output
Final energy: -0.1726 Ha/atom
V: 33.89 Å³ per atom
ΔH_f (0 K): 0.17 eV per formula unit

Entry 5:
Entry from Alexandria via LeMat-Bulk: a geometry-optimized Pm4NdDy2Tm structure (PBE).

The structure in POSCAR format:
```
Pm4NdDy2Tm
1.0
6.2391 0.0000 0.0000
0.0000 3.6168 0.0000
-2.1064 0.0000 11.7381
Pm Nd Dy Tm
4 1 2 1
Cartesian
1.0300 0.0000 2.8991
-0.0203 1.8084 8.8327
4.1529 1.8084 2.9054
3.1026 0.0000 8.8390
2.0663 1.8084 5.8691
-1.0532 0.0000 5.8691
0.0000 1.8084 0.0000
3.1195 0.0000 0.0000
```

Output
Final energy: -0.1714 Ha/atom
V: 33.11 Å³ per atom
ΔH_f (0 K): 0.14 eV per formula unit

Entry 6:
Entry from Alexandria via LeMat-Bulk: a geometry-optimized Pm2NdDy2Tm2 structure (PBE).

The structure in POSCAR format:
```
Pm2NdDy2Tm2
1.0
8.8377 -1.7495 0.0000
8.8377 1.7495 0.0000
-3.8348 0.0000 7.5409
Pm Nd Dy Tm
2 1 2 2
Cartesian
1.1397 0.0000 2.9154
12.7009 0.0000 4.6255
6.9203 0.0000 3.7704
-2.2252 0.0000 6.8379
16.0658 0.0000 0.7029
4.3269 0.0000 1.5033
9.5136 0.0000 6.0376
```

Output
Final energy: -0.1648 Ha/atom
V: 33.31 Å³ per atom
ΔH_f (0 K): 1.03 eV per formula unit

Entry 7:
Entry from Alexandria via LeMat-Bulk: a geometry-optimized PmNd3Dy2Tm6 structure (PBE).

The structure in POSCAR format:
```
PmNd3Dy2Tm6
1.0
3.0885 -5.3472 0.0000
3.0885 5.3472 0.0000
-2.0510 0.0000 11.5170
Pm Nd Dy Tm
1 3 2 6
Cartesian
0.0000 0.0000 0.0000
2.0630 3.5632 5.7585
2.0630 0.0000 5.7585
2.0630 -3.5632 5.7585
3.0885 1.7829 0.0000
3.0885 -1.7829 0.0000
1.0347 1.7839 2.8511
0.0059 0.0000 8.6653
1.0347 -1.7839 2.8511
3.0913 1.7839 8.6658
4.1201 0.0000 2.8516
3.0913 -1.7839 8.6658
```

Output
Final energy: -0.1680 Ha/atom
V: 31.70 Å³ per atom
ΔH_f (0 K): 0.24 eV per formula unit

Entry 8:
Entry from Alexandria via LeMat-Bulk: a geometry-optimized PmNd3Dy6Tm2 structure (PBE).

The structure in POSCAR format:
```
PmNd3Dy6Tm2
1.0
3.0992 -5.3656 0.0000
3.0992 5.3656 0.0000
-2.0591 0.0000 11.6611
Pm Nd Dy Tm
1 3 6 2
Cartesian
0.0000 0.0000 0.0000
2.0696 3.5745 5.8305
2.0696 0.0000 5.8305
2.0696 -3.5745 5.8305
1.0399 1.7923 2.8744
0.0078 0.0000 8.7871
1.0399 -1.7923 2.8744
3.0993 1.7923 8.7867
4.1315 0.0000 2.8740
3.0993 -1.7923 8.7867
3.0992 1.7900 0.0000
3.0992 -1.7900 0.0000
```

Output
Final energy: -0.1696 Ha/atom
V: 32.32 Å³ per atom
ΔH_f (0 K): 0.22 eV per formula unit